A relaxed Sr2LiZnIr crystal. Source: Alexandria via LeMat-Bulk, functional GGA-PBE.

Summary:
VASP energy = -15.67 eV/cell

Lattice parameters (Å, degrees): 5.8317 5.8317 4.8902 90.00 90.00 90.00
Atoms (fractional coordinates):
Sr1 0.0000 0.5000 0.0000
Sr2 0.5000 0.0000 0.0000
Li1 0.0000 0.0000 0.5000
Zn1 0.5000 0.5000 0.5000
Ir1 0.5000 0.5000 0.0000